one:
## RbAgHgI2 (GGA-PBE)

Data for RbAgHgI2 after structural relaxation.

Output
Magnetization = 0.0 μB/f.u.
Calculated density = 5.32 g/cm³

abc: 6.024 6.024 5.576
angles: 90.00 90.00 90.00
Space group P4/mmm (No. 123)
Unique sites:
Rb 0.000 0.000 0.000
Ag 0.500 0.500 0.500
Hg 0.500 0.500 0.000
I 0.000 0.500 0.500


two:
## RbAgHgI2 (GGA-PBE)

Data for RbAgHgI2 after structural relaxation.

Output
Magnetization = 0.0 μB/f.u.
Calculated density = 4.96 g/cm³

abc: 18.226 4.865 11.295
angles: 90.00 119.97 90.00
Space group C2/m (No. 12)
Unique sites:
Rb 0.225 0.000 0.259
Ag 0.058 0.000 0.444
Hg 0.086 0.500 0.964
I 0.117 0.500 0.374
I 0.125 0.000 0.736


Computed energies relative to the best structure, in meV/atom: one 26; two 0